VASP calculation (PBE) on an optimized crystal structure of Cu9NiAu2.

Summary:
total magnetic moment: 0.00 μB/f.u.
DFT formation energy: -0.066 eV/f.u.

The structure in CIF format:
```
data_Cu9NiAu2
_cell_length_a 4.5244
_cell_length_b 5.9514
_cell_length_c 6.4516
_cell_angle_alpha 68.50
_cell_angle_beta 88.81
_cell_angle_gamma 74.70
_space_group_name_H-M_alt 'P -1'
_space_group_IT_number 2
loop_
_space_group_symop_operation_xyz
'x,y,z'
'-x,-y,-z'
loop_
_atom_site_label
_atom_site_type_symbol
_atom_site_fract_x
_atom_site_fract_y
_atom_site_fract_z
_atom_site_occupancy
Cu1 Cu 0.0000 0.0000 0.0000 1
Cu2 Cu 0.0812 0.2664 0.5823 1
Cu3 Cu 0.1637 0.5081 0.1644 1
Cu4 Cu 0.2598 0.7325 0.7591 1
Cu5 Cu 0.4130 0.2631 0.9117 1
Ni1 Ni 0.5000 0.5000 0.5000 1
Au1 Au 0.3224 0.9997 0.3264 1
```